1.
Here is CrCoMo after structural relaxation from the Alexandria database. Energies are from PBE-GGA.

The total moment is 0.00 μB per formula unit. The excess energy over the best structure of this formula in the dataset comes out at 181 meV per atom. The density of states at the Fermi level is 2.7 states/eV/f.u.

POSCAR file:
```
CrCoMo
1.0
5.052 0.000 -0.001
0.000 4.705 0.000
-4.088 0.000 6.418
Cr Mo Co
4 4 4
Direct
0.475 0.378 0.325
0.525 0.378 0.675
0.475 0.878 0.825
0.525 0.878 0.175
0.500 0.394 0.000
0.000 0.138 0.000
0.000 0.638 0.500
0.500 0.894 0.500
0.989 0.675 0.833
0.989 0.175 0.333
0.011 0.675 0.167
0.011 0.175 0.667
```



2.
Here is CrCoMo2 after structural relaxation from the Alexandria database. Energies are from PBE-GGA.

The total moment is 1.76 μB per formula unit. The excess energy over the best structure of this formula in the dataset comes out at 93 meV per atom. The density of states at the Fermi level is 5.4 states/eV/f.u.

POSCAR file:
```
CrCoMo2
1.0
4.648 0.005 0.000
1.541 4.386 0.000
-3.095 -2.196 2.685
Cr Mo Co
1 2 1
Direct
0.750 0.250 0.500
0.500 0.500 0.000
0.000 0.000 0.000
0.250 0.750 0.500
```



3.
Here is CrCoMo after structural relaxation from the Alexandria database. Energies are from PBE-GGA.

The total moment is 3.01 μB per formula unit. The excess energy over the best structure of this formula in the dataset comes out at 208 meV per atom. The density of states at the Fermi level is 3.0 states/eV/f.u.

POSCAR file:
```
CrCoMo
1.0
4.788 0.019 0.000
2.846 3.850 0.000
-3.817 -1.934 2.148
Co Cr Mo
1 1 1
Direct
0.998 0.998 0.000
0.334 0.334 0.000
0.668 0.668 0.000
```



4.
Here is CrCoMo after structural relaxation from the Alexandria database. Energies are from PBE-GGA.

The total moment is 0.00 μB per formula unit. The excess energy over the best structure of this formula in the dataset comes out at 0 meV per atom. The density of states at the Fermi level is 2.9 states/eV/f.u.

POSCAR file:
```
CrCoMo
1.0
-2.041 -1.857 3.853
4.511 -0.946 -1.101
0.965 4.640 -0.054
Mo Co Cr
2 2 2
Direct
0.250 0.129 0.879
0.750 0.871 0.121
0.000 0.500 0.000
0.500 0.500 0.500
0.000 0.500 0.500
0.500 0.000 0.500
```



5.
Here is CrCoMo after structural relaxation from the Alexandria database. Energies are from PBE-GGA.

The total moment is 0.00 μB per formula unit. The excess energy over the best structure of this formula in the dataset comes out at 107 meV per atom. The density of states at the Fermi level is 3.2 states/eV/f.u.

POSCAR file:
```
CrCoMo
1.0
-1.851 0.088 1.800
0.504 -4.045 0.716
5.311 1.468 4.551
Co Mo Cr
2 2 2
Direct
0.404 0.500 0.613
0.314 0.000 0.426
0.580 0.000 0.110
0.883 0.000 0.744
0.877 0.500 0.314
0.225 0.500 0.946
```



6.
Here is CrCoMo after structural relaxation from the Alexandria database. Energies are from PBE-GGA.

The total moment is 0.00 μB per formula unit. The excess energy over the best structure of this formula in the dataset comes out at 106 meV per atom. The density of states at the Fermi level is 2.3 states/eV/f.u.

POSCAR file:
```
CrCoMo
1.0
6.043 -0.001 0.000
4.951 3.465 0.000
-5.497 -1.732 1.817
Co Mo Cr
1 1 1
Direct
0.989 0.989 0.000
0.662 0.662 0.000
0.350 0.350 0.000
```



7.
Here is CrCoMo2 after structural relaxation from the Alexandria database. Energies are from PBE-GGA.

The total moment is 2.05 μB per formula unit. The excess energy over the best structure of this formula in the dataset comes out at 66 meV per atom. The density of states at the Fermi level is 4.5 states/eV/f.u.

POSCAR file:
```
CrCoMo2
1.0
-3.786 -1.834 0.658
-1.601 -0.225 3.939
-3.362 2.383 1.071
Mo Cr Co
2 1 1
Direct
0.750 0.750 0.750
0.250 0.250 0.250
0.000 0.000 0.000
0.500 0.500 0.500
```



8.
Here is CrCo4Mo after structural relaxation from the Alexandria database. Energies are from PBE-GGA.

The total moment is 5.17 μB per formula unit. The excess energy over the best structure of this formula in the dataset comes out at 53 meV per atom. The density of states at the Fermi level is 9.8 states/eV/f.u.

POSCAR file:
```
CrCo4Mo
1.0
0.000 3.282 3.282
3.282 0.000 3.282
3.282 3.282 0.000
Co Mo Cr
4 1 1
Direct
0.873 0.376 0.376
0.376 0.873 0.376
0.376 0.376 0.873
0.376 0.376 0.376
0.000 0.000 0.000
0.750 0.750 0.750
```



Copy entry 4 word for word.
Here is CrCoMo after structural relaxation from the Alexandria database. Energies are from PBE-GGA.

The total moment is 0.00 μB per formula unit. The excess energy over the best structure of this formula in the dataset comes out at 0 meV per atom. The density of states at the Fermi level is 2.9 states/eV/f.u.

POSCAR file:
```
CrCoMo
1.0
-2.041 -1.857 3.853
4.511 -0.946 -1.101
0.965 4.640 -0.054
Mo Co Cr
2 2 2
Direct
0.250 0.129 0.879
0.750 0.871 0.121
0.000 0.500 0.000
0.500 0.500 0.500
0.000 0.500 0.500
0.500 0.000 0.500
```